No. 1
# Ba3ZnPb, optimized geometry, DFT PBE
data_Ba3ZnPb
_chemical_formula_sum 'Ba6 Zn2 Pb2'
_space_group_name_H-M_alt 'P 1'
_space_group_IT_number 1
_space_group_name_Hall 'P 1'
_cell_length_a 4.499
_cell_length_b 10.674
_cell_length_c 10.675
_cell_angle_alpha 64.48
_cell_angle_beta 90.00
_cell_angle_gamma 90.00
loop_
_atom_site_label
_atom_site_type_symbol
_atom_site_fract_x
_atom_site_fract_y
_atom_site_fract_z
_atom_site_occupancy
Ba1 Ba 0.363 0.038 0.090 1
Ba2 Ba 0.864 0.992 0.663 1
Ba3 Ba 0.363 0.351 0.403 1
Ba4 Ba 0.864 0.396 0.830 1
Ba5 Ba 0.862 0.610 0.045 1
Ba6 Ba 0.862 0.778 0.448 1
Pb1 Pb 0.363 0.694 0.746 1
Pb2 Pb 0.863 0.194 0.247 1
Zn1 Zn 0.365 0.194 0.746 1
Zn2 Zn 0.362 0.694 0.246 1
# - magnetization (μB per cell) = 0.0
# - DFT formation energy (meV per atom) = -196
# - ρ (g/cm³) = 4.91
# - SG = C222 (21)
# - crystal system = orthorhombic
# - distance to the lowest polymorph of the same formula (eV per atom) = 0.000

No. 2
# BaZnPb2, optimized geometry, DFT PBE
data_BaZnPb2
_chemical_formula_sum 'Ba1 Zn1 Pb2'
_space_group_name_H-M_alt 'P 1'
_space_group_IT_number 1
_space_group_name_Hall 'P 1'
_cell_length_a 6.516
_cell_length_b 6.516
_cell_length_c 6.516
_cell_angle_alpha 136.40
_cell_angle_beta 136.40
_cell_angle_gamma 63.37
loop_
_atom_site_label
_atom_site_type_symbol
_atom_site_fract_x
_atom_site_fract_y
_atom_site_fract_z
_atom_site_occupancy
Ba1 Ba 0.750 0.250 0.500 1
Pb1 Pb 0.000 0.000 0.000 1
Pb2 Pb 0.500 0.500 0.000 1
Zn1 Zn 0.250 0.750 0.500 1
# - magnetization (μB per cell) = 0.0
# - DFT formation energy (meV per atom) = -134
# - ρ (g/cm³) = 7.89
# - SG = I4/mmm (139)
# - crystal system = tetragonal

No. 3
# BaZnPb2, optimized geometry, DFT PBE
data_BaZnPb2
_chemical_formula_sum 'Ba1 Zn1 Pb2'
_space_group_name_H-M_alt 'P 1'
_space_group_IT_number 1
_space_group_name_Hall 'P 1'
_cell_length_a 3.969
_cell_length_b 3.969
_cell_length_c 7.867
_cell_angle_alpha 90.00
_cell_angle_beta 90.00
_cell_angle_gamma 90.04
loop_
_atom_site_label
_atom_site_type_symbol
_atom_site_fract_x
_atom_site_fract_y
_atom_site_fract_z
_atom_site_occupancy
Pb1 Pb 0.000 0.000 0.444 1
Pb2 Pb 0.000 0.000 0.056 1
Ba1 Ba 0.500 0.500 0.750 1
Zn1 Zn 0.500 0.500 0.250 1
# - magnetization (μB per cell) = 0.0
# - DFT formation energy (meV per atom) = -145
# - ρ (g/cm³) = 8.27
# - SG = P4/mmm (123)
# - crystal system = tetragonal

No. 4
# Ba2ZnPb, optimized geometry, DFT PBE
data_Ba2ZnPb
_chemical_formula_sum 'Ba4 Zn2 Pb2'
_space_group_name_H-M_alt 'P 1'
_space_group_IT_number 1
_space_group_name_Hall 'P 1'
_cell_length_a 6.036
_cell_length_b 6.036
_cell_length_c 11.314
_cell_angle_alpha 74.53
_cell_angle_beta 74.53
_cell_angle_gamma 90.00
loop_
_atom_site_label
_atom_site_type_symbol
_atom_site_fract_x
_atom_site_fract_y
_atom_site_fract_z
_atom_site_occupancy
Pb1 Pb 0.000 0.000 0.000 1
Pb2 Pb 0.750 0.250 0.500 1
Zn1 Zn 0.250 0.750 0.500 1
Zn2 Zn 0.500 0.500 0.000 1
Ba1 Ba 0.612 0.125 0.250 1
Ba2 Ba 0.375 0.388 0.750 1
Ba3 Ba 0.138 0.625 0.250 1
Ba4 Ba 0.875 0.862 0.750 1
# - magnetization (μB per cell) = 0.0
# - DFT formation energy (meV per atom) = 90
# - ρ (g/cm³) = 4.76
# - SG = I-42d (122)
# - crystal system = tetragonal